# 1
Computed, not measured: ScTl2Te after structural relaxation at the PBE-GGA level of DFT.

Output
As for the energy above the most stable polymorph in this dataset: 75 meV/atom. The total DFT energy (no corrections) comes out at -0.286 Ry/atom. The value obtained for the density of states at the Fermi level is 6.0 states/eV per cell. The calculation puts the uncorrected formation energy at -0.346 eV per atom.

Unit cell a=15.5456 b=3.7734 c=4.3521 alpha=90.00 beta=105.86 gamma=90.00
Space group C2/m (No. 12)
Asymmetric unit:
Sc (0.0000, 0.0000, 0.0000) (multiplicity 2)
Tl (0.1896, 0.5000, 0.1919) (multiplicity 4)
Te (0.0000, 0.5000, 0.5000) (multiplicity 2)



# 2
Computed, not measured: BeZn2Cu3 after structural relaxation at the PBE-GGA level of DFT.

Output
The total DFT energy (no corrections) comes out at -0.233 Ry/atom. The value obtained for the density of states at the Fermi level is 4.7 states/eV per cell.

Unit cell a=3.9442 b=11.8269 c=6.1738 alpha=90.00 beta=90.00 gamma=90.00
Space group Cmmm (No. 65)
Asymmetric unit:
Be (0.0000, 0.1621, 0.0000) (multiplicity 4)
Zn (0.0000, 0.1666, 0.5000) (multiplicity 4)
Zn (0.0000, 0.5000, 0.0000) (multiplicity 2)
Zn (0.0000, 0.5000, 0.5000) (multiplicity 2)
Cu (0.0000, 0.0000, 0.2361) (multiplicity 4)
Cu (0.0000, 0.3244, 0.2174) (multiplicity 8)



The lowest total DFT energy (no corrections) belongs to which entry? ScTl2Te



Which of these has the lowest total DFT energy (no corrections)? ScTl2Te



Please write out number 1 again, unchanged.
Computed, not measured: ScTl2Te after structural relaxation at the PBE-GGA level of DFT.

Output
As for the energy above the most stable polymorph in this dataset: 75 meV/atom. The total DFT energy (no corrections) comes out at -0.286 Ry/atom. The value obtained for the density of states at the Fermi level is 6.0 states/eV per cell. The calculation puts the uncorrected formation energy at -0.346 eV per atom.

Unit cell a=15.5456 b=3.7734 c=4.3521 alpha=90.00 beta=105.86 gamma=90.00
Space group C2/m (No. 12)
Asymmetric unit:
Sc (0.0000, 0.0000, 0.0000) (multiplicity 2)
Tl (0.1896, 0.5000, 0.1919) (multiplicity 4)
Te (0.0000, 0.5000, 0.5000) (multiplicity 2)